A | ## TlW2N (PBE-GGA)

Data for TlW2N after structural relaxation.

a = 2.9436 Å, b = 2.9436 Å, c = 15.5894 Å
α = 90.00°, β = 90.00°, γ = 120.00°
Positions (direct):
Tl: 0.3333 0.6667 0.7500
Tl: 0.6667 0.3333 0.2500
N: 0.0000 0.0000 0.0000
N: 0.0000 0.0000 0.5000
W: 0.6667 0.3333 0.5891
W: 0.3333 0.6667 0.4109
W: 0.3333 0.6667 0.0891
W: 0.6667 0.3333 0.9109

## Properties
Calculated volume (Å³/atom): 14.623
Crystal system: hexagonal

***

B | ## TlW2N (PBE-GGA)

Data for TlW2N after structural relaxation.

a = 5.5514 Å, b = 5.5514 Å, c = 14.7045 Å
α = 104.17°, β = 104.17°, γ = 59.10°
Positions (direct):
N: 0.2478 0.6517 0.9713
N: 0.0000 0.5000 0.5000
N: 0.6517 0.2478 0.4713
N: 0.3483 0.7522 0.5287
N: 0.7522 0.3483 0.0287
N: 0.5000 0.0000 0.0000
W: 0.0410 0.1770 0.5658
W: 0.3133 0.1464 0.4179
W: 0.1770 0.0410 0.0658
W: 0.4154 0.4091 0.0885
W: 0.8536 0.6867 0.0821
W: 0.4091 0.4154 0.5885
W: 0.6867 0.8536 0.5821
W: 0.8230 0.9590 0.9342
W: 0.5909 0.5846 0.4115
W: 0.5846 0.5909 0.9115
W: 0.1464 0.3133 0.9179
W: 0.9590 0.8230 0.4342
Tl: 0.2139 0.4428 0.2573
Tl: 0.8865 0.1135 0.2500
Tl: 0.4428 0.2139 0.7573
Tl: 0.1135 0.8865 0.7500
Tl: 0.7861 0.5572 0.7427
Tl: 0.5572 0.7861 0.2427

## Properties
Calculated volume (Å³/atom): 15.547
Crystal system: monoclinic

***

Which of them is most stable? Easy: B.

***

A | ## Y2ZnN (PBE-GGA)

Data for Y2ZnN after structural relaxation.

a = 6.0720 Å, b = 6.0720 Å, c = 15.3358 Å
α = 101.33°, β = 101.33°, γ = 59.27°
Positions (direct):
Y: 0.9735 0.8022 0.9134
Y: 0.8022 0.9735 0.4134
Y: 0.4734 0.6273 0.4024
Y: 0.5266 0.3727 0.5976
Y: 0.3727 0.5266 0.0976
Y: 0.1978 0.0265 0.5866
Y: 0.8598 0.6949 0.5874
Y: 0.6949 0.8598 0.0874
Y: 0.3051 0.1402 0.9126
Y: 0.0265 0.1978 0.0866
Y: 0.1402 0.3051 0.4126
Y: 0.6273 0.4734 0.9024
Zn: 0.1889 0.4075 0.7499
Zn: 0.8579 0.1421 0.2500
Zn: 0.8111 0.5925 0.2501
Zn: 0.5925 0.8111 0.7501
Zn: 0.4075 0.1889 0.2499
Zn: 0.1421 0.8579 0.7500
N: 0.8252 0.3394 0.5016
N: 0.5000 0.0000 0.5000
N: 0.1748 0.6606 0.4984
N: 0.3394 0.8252 0.0016
N: 0.0000 0.5000 0.0000
N: 0.6606 0.1748 0.9984

## Properties
Calculated volume (Å³/atom): 19.727
Crystal system: monoclinic

***

B | ## Y2ZnN (PBE-GGA)

Data for Y2ZnN after structural relaxation.

a = 3.5088 Å, b = 3.5088 Å, c = 14.8317 Å
α = 90.00°, β = 90.00°, γ = 120.00°
Positions (direct):
Zn: 0.3333 0.6667 0.7500
Zn: 0.6667 0.3333 0.2500
N: 0.0000 0.0000 0.5000
N: 0.0000 0.0000 0.0000
Y: 0.3333 0.6667 0.4081
Y: 0.6667 0.3333 0.5919
Y: 0.3333 0.6667 0.0919
Y: 0.6667 0.3333 0.9081

## Properties
Calculated volume (Å³/atom): 19.768
Crystal system: hexagonal

***

Which of them is most stable? Easy: A.

***

A | ## NaNb (PBE-GGA)

Data for NaNb after structural relaxation.

a = 4.0219 Å, b = 4.0219 Å, c = 4.0219 Å
α = 60.00°, β = 60.00°, γ = 60.00°
Positions (direct):
Na: 0.0000 0.0000 0.0000
Nb: 0.5000 0.5000 0.5000

## Properties
Calculated volume (Å³/atom): 23.002
Crystal system: cubic

***

B | ## NaNb (PBE-GGA)

Data for NaNb after structural relaxation.

a = 2.8496 Å, b = 2.8495 Å, c = 5.9376 Å
α = 90.00°, β = 90.00°, γ = 120.00°
Positions (direct):
Nb: 0.3333 0.6667 0.2500
Na: 0.6667 0.3333 0.7500

## Properties
Calculated volume (Å³/atom): 20.876
Crystal system: hexagonal

***

Which of them is most stable? Easy: B.

***

A | ## NaNbNiSe3 (PBE-GGA)

Data for NaNbNiSe3 after structural relaxation.

a = 7.7265 Å, b = 3.6245 Å, c = 9.5411 Å
α = 90.00°, β = 110.48°, γ = 90.00°
Positions (direct):
Se: 0.5643 0.7500 0.3719
Se: 0.4357 0.2500 0.6281
Se: 0.0663 0.7500 0.3503
Se: 0.2483 0.2500 0.0437
Se: 0.9337 0.2500 0.6497
Se: 0.7517 0.7500 0.9563
Ni: 0.0856 0.7500 0.1070
Ni: 0.9144 0.2500 0.8930
Nb: 0.7095 0.7500 0.6805
Nb: 0.2905 0.2500 0.3195
Na: 0.7325 0.2500 0.2072
Na: 0.2675 0.7500 0.7928

## Properties
Calculated volume (Å³/atom): 20.859
Crystal system: monoclinic

***

B | ## NaNbNiSe3 (PBE-GGA)

Data for NaNbNiSe3 after structural relaxation.

a = 7.3253 Å, b = 7.3253 Å, c = 9.6436 Å
α = 90.00°, β = 90.00°, γ = 152.28°
Positions (direct):
Ni: 0.9701 0.0299 0.2500
Ni: 0.0299 0.9701 0.7500
Na: 0.2519 0.7481 0.2500
Na: 0.7481 0.2519 0.7500
Se: 0.1316 0.8684 0.9393
Se: 0.8684 0.1316 0.0607
Se: 0.8684 0.1316 0.4393
Se: 0.4192 0.5808 0.7500
Se: 0.1316 0.8684 0.5607
Se: 0.5808 0.4192 0.2500
Nb: 0.5000 0.5000 0.0000
Nb: 0.5000 0.5000 0.5000

## Properties
Calculated volume (Å³/atom): 20.062
Crystal system: orthorhombic

***

Which of them is most stable? Easy: A.

***

A | ## NaNbZnNi (PBE-GGA)

Data for NaNbZnNi after structural relaxation.

a = 4.3881 Å, b = 4.3881 Å, c = 4.3881 Å
α = 60.00°, β = 60.00°, γ = 60.00°
Positions (direct):
Nb: 0.5000 0.5000 0.5000
Na: 0.7500 0.7500 0.7500
Ni: 0.2500 0.2500 0.2500
Zn: 0.0000 0.0000 0.0000

## Properties
Calculated volume (Å³/atom): 14.937
Crystal system: cubic

***

B | ## NaNbZnNi (PBE-GGA)

Data for NaNbZnNi after structural relaxation.

a = 4.4723 Å, b = 4.4723 Å, c = 4.4723 Å
α = 60.00°, β = 60.00°, γ = 60.00°
Positions (direct):
Zn: 0.0000 0.0000 0.0000
Nb: 0.2500 0.2500 0.2500
Na: 0.7500 0.7500 0.7500
Ni: 0.5000 0.5000 0.5000

## Properties
Calculated volume (Å³/atom): 15.813
Crystal system: cubic

***

Which of them is most stable? Easy: A.

***

A | ## NaNpNb (PBE-GGA)

Data for NaNpNb after structural relaxation.

a = 4.6440 Å, b = 4.6440 Å, c = 4.6440 Å
α = 60.00°, β = 60.00°, γ = 60.00°
Positions (direct):
Np: 0.0000 0.0000 0.0000
Na: 0.2500 0.2500 0.2500
Nb: 0.7500 0.7500 0.7500

## Properties
Calculated volume (Å³/atom): 23.607
Crystal system: cubic

***

B | ## NaNpNb (PBE-GGA)

Data for NaNpNb after structural relaxation.

a = 4.6423 Å, b = 4.6423 Å, c = 4.6423 Å
α = 60.00°, β = 60.00°, γ = 60.00°
Positions (direct):
Nb: 0.0000 0.0000 0.0000
Np: 0.7500 0.7500 0.7500
Na: 0.2500 0.2500 0.2500

## Properties
Calculated volume (Å³/atom): 23.581
Crystal system: cubic

***

Which of them is most stable? Easy: B.